(1)
Entry from Alexandria via LeMat-Bulk: crystalline Ho2Er3Tc2 at its relaxed geometry (GGA-PBE).

Values from the calculation:
- symmetry = C2/m

Unit cell a=3.799 b=6.340 c=8.361 alpha=111.94 beta=90.00 gamma=107.44
Fractional coordinates of all 7 atoms:
Tc 0.822 0.645 0.786
Er 0.500 0.000 0.000
Ho 0.838 0.677 0.183
Er 0.625 0.251 0.434
Tc 0.178 0.355 0.214
Ho 0.162 0.323 0.817
Er 0.375 0.749 0.566


(2)
Entry from Alexandria via LeMat-Bulk: crystalline Ho8Er2Tc at its relaxed geometry (GGA-PBE).

Values from the calculation:
- symmetry = C2/m

Unit cell a=5.438 b=6.362 c=9.648 alpha=91.73 beta=106.37 gamma=90.00
Fractional coordinates of all 11 atoms:
Ho 0.575 0.631 0.149
Ho 0.351 0.864 0.701
Ho 0.842 0.178 0.685
Ho 0.425 0.369 0.851
Er 0.239 0.332 0.478
Ho 0.158 0.822 0.315
Er 0.761 0.668 0.522
Ho 0.960 0.758 0.920
Tc 0.500 0.000 0.000
Ho 0.040 0.242 0.080
Ho 0.649 0.136 0.299


(3)
Entry from Alexandria via LeMat-Bulk: crystalline HoEr4Tc2 at its relaxed geometry (GGA-PBE).

Values from the calculation:
- symmetry = P2_1/m

Unit cell a=6.236 b=7.849 c=7.760 alpha=111.87 beta=90.00 gamma=90.00
Fractional coordinates of all 14 atoms:
Er 0.501 0.417 0.761
Tc 0.750 0.755 0.033
Er 0.750 0.025 0.387
Ho 0.750 0.158 0.027
Er 0.750 0.750 0.675
Tc 0.250 0.245 0.967
Er 0.499 0.583 0.239
Ho 0.250 0.842 0.973
Er 0.001 0.583 0.239
Tc 0.250 0.617 0.578
Er 0.250 0.975 0.613
Er 0.250 0.250 0.325
Er 0.999 0.417 0.761
Tc 0.750 0.383 0.422


(4)
Entry from Alexandria via LeMat-Bulk: crystalline Ho2Er8Tc at its relaxed geometry (GGA-PBE).

Values from the calculation:
- symmetry = C2/m

Unit cell a=5.413 b=6.350 c=9.635 alpha=91.81 beta=106.31 gamma=90.00
Fractional coordinates of all 11 atoms:
Er 0.040 0.241 0.079
Tc 0.500 0.000 0.000
Er 0.574 0.632 0.149
Er 0.351 0.863 0.702
Er 0.960 0.759 0.921
Er 0.158 0.823 0.315
Er 0.842 0.177 0.685
Er 0.426 0.368 0.851
Ho 0.761 0.668 0.521
Er 0.649 0.137 0.298
Ho 0.239 0.332 0.479


(5)
Entry from Alexandria via LeMat-Bulk: crystalline Ho4Er5Tc2 at its relaxed geometry (GGA-PBE).

Values from the calculation:
- symmetry = P2/m

Unit cell a=3.605 b=8.276 c=10.354 alpha=91.56 beta=90.00 gamma=90.00
Fractional coordinates of all 11 atoms:
Er 0.000 0.563 0.340
Er 0.000 0.159 0.157
Er 0.000 0.437 0.660
Tc 0.000 0.082 0.656
Tc 0.000 0.918 0.344
Er 0.000 0.841 0.843
Ho 0.500 0.817 0.144
Er 0.000 0.500 0.000
Ho 0.500 0.816 0.552
Ho 0.500 0.184 0.448
Ho 0.500 0.183 0.856


(6)
Entry from Alexandria via LeMat-Bulk: crystalline HoEr2Tc9 at its relaxed geometry (GGA-PBE).

Values from the calculation:
- symmetry = R-3m

Unit cell a=5.332 b=5.332 c=9.247 alpha=73.24 beta=73.24 gamma=60.00
Fractional coordinates of all 12 atoms:
Tc 0.074 0.589 0.749
Tc 0.589 0.074 0.749
Ho 0.000 0.000 0.000
Tc 0.500 0.500 0.500
Tc 0.411 0.926 0.251
Tc 0.589 0.589 0.749
Tc 0.411 0.411 0.251
Tc 0.926 0.411 0.251
Tc 0.662 0.662 0.013
Tc 0.338 0.338 0.987
Er 0.856 0.856 0.431
Er 0.144 0.144 0.569


| no. | mass density (Mg/m³) | ΔE_f (meV/atom) |
| --- | --- | --- |
| 1 | 9.65 | -94 |
| 2 | 9.09 | 16 |
| 3 | 9.70 | -57 |
| 4 | 9.23 | 11 |
| 5 | 9.10 | 47 |
| 6 | 10.68 | -77 |